Compound: MnCuCSBr
Source: Alexandria via LeMat-Bulk
Functional: GGA-PBE
Structure: optimized geometry

Output
- V: 116.37 Å³/cell
- Offset from the most stable computed form: 161 meV per atom
- Space group: P1

CIF file:
```
data_MnCuCSBr
_chemical_formula_sum 'Mn1 Cu1 C1 S1 Br1'
_cell_length_a 3.7436
_cell_length_b 5.3925
_cell_length_c 6.1220
_cell_angle_alpha 98.03
_cell_angle_beta 107.80
_cell_angle_gamma 90.31
_space_group_name_H-M_alt 'P 1'
_space_group_IT_number 1
loop_
_space_group_symop_operation_xyz
'x,y,z'
loop_
_atom_site_label
_atom_site_type_symbol
_atom_site_fract_x
_atom_site_fract_y
_atom_site_fract_z
Mn1 Mn 0.0000 0.0000 0.0000
Cu1 Cu 0.6220 0.8523 0.2465
C1 C 0.0875 0.7858 0.1785
S1 S 0.5107 0.2096 0.0182
Br1 Br 0.8175 0.7303 0.6395
```